No. 1
A relaxed structure of SrCuBi. Source: the Alexandria database, functional GGA-PBEsol.

Values from the calculation:
symmetry = P6_3/mmc, No. 194
density of states at the Fermi level = 0.061 states/eV/atom
ΔE_f = -0.525 eV per atom
size of the total moment = 0.00 μB per cell

Cell: 4.6010 4.6010 8.7499 Å, 90.00 90.00 120.00°
Closest atoms and distances in Å follow each position.
Element x y z (fractional)
Sr: 0.0000 0.0000 0.0000  6 Bi 3.44, 6 Cu 3.44
Sr: 0.0000 0.0000 0.5000  6 Bi 3.44, 6 Cu 3.44
Cu: 0.6667 0.3333 0.2500  3 Bi 2.66
Bi: 0.6667 0.3333 0.7500  3 Cu 2.66
Cu: 0.3333 0.6667 0.7500  3 Bi 2.66
Bi: 0.3333 0.6667 0.2500  3 Cu 2.66

=====

No. 2
A relaxed structure of KCa2Ag. Source: the Alexandria database, functional GGA-PBEsol.

Values from the calculation:
symmetry = P4/mmm, No. 123
density of states at the Fermi level = 0.773 states/eV/atom
ΔE_f = -0.071 eV per atom
size of the total moment = 0.00 μB per cell

Cell: 3.7404 3.7414 10.4227 Å, 90.00 90.02 90.00°
Closest atoms and distances in Å follow each position.
Element x y z (fractional)
K: 0.5000 0.5000 0.0000  4 K 3.74
Ca: 0.0000 0.0000 0.3347  4 Ag 3.16, 1 Ca 3.45
Ca: 0.0000 0.0000 0.6653  4 Ag 3.16, 1 Ca 3.45
Ag: 0.5000 0.5000 0.5000  8 Ca 3.16

=====

No. 3
A relaxed structure of Ca2AgPd2. Source: the Alexandria database, functional GGA-PBEsol.

Values from the calculation:
symmetry = P4/mbm, No. 127
density of states at the Fermi level = 0.379 states/eV/atom
ΔE_f = -0.512 eV per atom
size of the total moment = 0.00 μB per cell

Cell: 4.0482 7.1905 7.1905 Å, 90.00 90.00 90.00°
Closest atoms and distances in Å follow each position.
Element x y z (fractional)
Pd: 0.0000 0.8678 0.6322  1 Pd 2.69, 2 Ag 2.81, 6 Ca 2.84-3.00
Ag: 0.0000 0.0000 0.0000  4 Pd 2.81
Pd: 0.0000 0.3678 0.8678  1 Pd 2.69, 2 Ag 2.81, 6 Ca 2.84-3.00
Ca: 0.5000 0.8275 0.3275  6 Pd 2.84-3.00
Pd: 0.0000 0.6322 0.1322  1 Pd 2.69, 2 Ag 2.81, 6 Ca 2.84-3.00
Ca: 0.5000 0.1725 0.6725  6 Pd 2.84-3.00
Ca: 0.5000 0.3275 0.1725  6 Pd 2.84-3.00
Ca: 0.5000 0.6725 0.8275  6 Pd 2.84-3.00
Ag: 0.0000 0.5000 0.5000  4 Pd 2.81
Pd: 0.0000 0.1322 0.3678  1 Pd 2.69, 2 Ag 2.81, 6 Ca 2.84-3.00

=====

No. 4
A relaxed structure of LaReW2. Source: the Alexandria database, functional GGA-PBEsol.

Values from the calculation:
symmetry = P2/m, No. 10
density of states at the Fermi level = 1.058 states/eV/atom
ΔE_f = 0.617 eV per atom
size of the total moment = 0.00 μB per cell

Cell: 2.8521 4.2275 6.5229 Å, 90.00 100.27 90.00°
Closest atoms and distances in Å follow each position.
Element x y z (fractional)
La: 0.5000 0.5000 0.0000  2 La 2.85, 4 W 3.12
Re: 0.0000 0.5000 0.5000  4 W 2.60, 2 Re 2.85
W: 0.7354 0.0000 0.6824  1 W 2.52, 2 Re 2.60
W: 0.2646 0.0000 0.3176  1 W 2.52, 2 Re 2.60

=====

No. 5
A relaxed structure of CrReOs2. Source: the Alexandria database, functional GGA-PBEsol.

Values from the calculation:
symmetry = R-3m, No. 166
density of states at the Fermi level = 1.067 states/eV/atom
ΔE_f = 0.136 eV per atom
size of the total moment = 0.00 μB per cell

Cell: 2.6941 2.6941 8.8052 Å, 81.20 81.20 60.00°
Closest atoms and distances in Å follow each position.
Element x y z (fractional)
Os: 0.2533 0.2533 0.2402  3 Cr 2.60, 6 Os 2.69, 3 Re 2.74
Os: 0.7467 0.7467 0.7598  3 Cr 2.60, 6 Os 2.69, 3 Re 2.74
Cr: 0.0000 0.0000 0.0000  6 Os 2.60, 6 Cr 2.69
Re: 0.5000 0.5000 0.5000  6 Re 2.69, 6 Os 2.74

=====

No. 6
A relaxed structure of SrTeIr. Source: the Alexandria database, functional GGA-PBEsol.

Values from the calculation:
energy relative to the elements, uncorrected = -4.34 kcal/mol of atoms
symmetry = I4mm, No. 107
density of states at the Fermi level = 1.005 states/eV/atom
size of the total moment = 0.00 μB per cell

Cell: 3.6856 3.6856 6.0543 Å, 107.72 107.72 90.00°
Closest atoms and distances in Å follow each position.
Element x y z (fractional)
Sr: 0.3339 0.3339 0.6679  1 Te 3.10, 1 Ir 3.12
Te: 0.6172 0.6172 0.2345  4 Ir 2.71
Ir: 0.0488 0.0488 0.0977  4 Te 2.71

=====

No. 7
A relaxed structure of LiOsBr2. Source: the Alexandria database, functional GGA-PBEsol.

Values from the calculation:
energy relative to the elements, uncorrected = 8.34 kcal/mol of atoms
symmetry = Imm2, No. 44
density of states at the Fermi level = 0.666 states/eV/atom
size of the total moment = 0.00 μB per cell

Cell: 3.1891 3.5561 7.2214 Å, 104.25 102.76 90.00°
Closest atoms and distances in Å follow each position.
Element x y z (fractional)
Os: 0.2748 0.7748 0.5496  4 Br 2.52
Br: 0.7149 0.2149 0.4297  4 Os 2.52
Br: 0.9727 0.9727 0.9454  4 Li 2.55
Li: 0.5377 0.5377 0.0753  4 Br 2.55

=====

No. 8
A relaxed structure of Ca2AsW. Source: the Alexandria database, functional GGA-PBEsol.

Values from the calculation:
symmetry = P4/mmm, No. 123
density of states at the Fermi level = 0.383 states/eV/atom
ΔE_f = 0.182 eV per atom
size of the total moment = 0.00 μB per cell

Cell: 2.9931 2.9931 9.2203 Å, 90.00 90.00 90.00°
Closest atoms and distances in Å follow each position.
Element x y z (fractional)
W: 0.5000 0.5000 0.0000  4 W 2.99, 8 Ca 3.22
Ca: 0.0000 0.0000 0.7372  4 Ca 2.99, 4 As 3.04, 4 W 3.22
Ca: 0.0000 0.0000 0.2628  4 Ca 2.99, 4 As 3.04, 4 W 3.22
As: 0.5000 0.5000 0.5000  4 As 2.99, 8 Ca 3.04

=====

No. 9
A relaxed structure of TaIn2Sb. Source: the Alexandria database, functional GGA-PBEsol.

Values from the calculation:
energy relative to the elements, uncorrected = 7.76 kcal/mol of atoms
symmetry = P2/m, No. 10
density of states at the Fermi level = 0.582 states/eV/atom
size of the total moment = 0.00 μB per cell

Cell: 3.1754 5.1140 5.5487 Å, 90.00 101.56 90.00°
Closest atoms and distances in Å follow each position.
Element x y z (fractional)
In: 0.1297 0.0000 0.2648  5 In 2.89-3.18, 2 Ta 3.00
Sb: 0.5000 0.5000 0.0000  2 Ta 2.77
In: 0.8703 0.0000 0.7352  5 In 2.89-3.18, 2 Ta 3.00
Ta: 0.5000 0.5000 0.5000  2 Sb 2.77, 4 In 3.00

=====

No. 10
A relaxed structure of SrNiSb2. Source: the Alexandria database, functional GGA-PBEsol.

Values from the calculation:
energy relative to the elements, uncorrected = -1.67 kcal/mol of atoms
symmetry = I-4m2, No. 119
density of states at the Fermi level = 0.594 states/eV/atom
size of the total moment = 0.00 μB per cell

Cell: 4.3763 4.3763 5.7425 Å, 112.40 112.40 90.00°
Closest atoms and distances in Å follow each position.
Element x y z (fractional)
Sb: 0.0000 0.0000 0.0000  4 Sr 3.09, 4 Sb 3.26, 4 Ni 3.26
Sr: 0.5000 0.5000 0.0000  8 Sb 3.09-3.26, 4 Ni 3.26
Ni: 0.2500 0.7500 0.5000  8 Sb 3.09-3.26, 4 Sr 3.26
Sb: 0.7500 0.2500 0.5000  4 Ni 3.09, 4 Sr 3.26, 4 Sb 3.26

=====

No. 11
A relaxed structure of La2OsBr. Source: the Alexandria database, functional GGA-PBEsol.

Values from the calculation:
energy relative to the elements, uncorrected = -10.53 kcal/mol of atoms
symmetry = Immm, No. 71
density of states at the Fermi level = 0.453 states/eV/atom
size of the total moment = 0.00 μB per cell

Cell: 4.5523 5.2304 5.2304 Å, 68.15 64.20 64.20°
Closest atoms and distances in Å follow each position.
Element x y z (fractional)
La: 0.2693 0.7307 0.7307  2 Os 2.84, 2 Br 3.02
Br: 0.5000 0.0000 0.0000  4 La 3.02
Os: 0.0000 0.5000 0.5000  4 La 2.84
La: 0.7307 0.2693 0.2693  2 Os 2.84, 2 Br 3.02

=====

No. 12
A relaxed structure of LiTiPO5. Source: the Alexandria database, functional GGA-PBEsol.

Values from the calculation:
energy relative to the elements, uncorrected = -60.47 kcal/mol of atoms
symmetry = P-1, No. 2
density of states at the Fermi level = 0.000 states/eV/atom
size of the total moment = 0.00 μB per cell

Cell: 6.8964 7.1424 7.8841 Å, 90.60 91.34 117.01°
Closest atoms and distances in Å follow each position.
Element x y z (fractional)
O: 0.2433 0.4090 0.5113  1 P 1.54
O: 0.9475 0.9120 0.6812  1 P 1.53
Ti: 0.2484 0.0168 0.7622  3 O 1.75-1.96
O: 0.5756 0.6556 0.7409  1 P 1.54
Li: 0.3089 0.8095 0.4370  4 O 1.94-2.15
O: 0.6453 0.8855 0.4798  1 P 1.56
O: 0.9202 0.3441 0.7549  1 P 1.54
O: 0.7667 0.2576 0.3286  1 Ti 1.75, 1 Li 1.94
Li: 0.2098 0.2894 0.0630  4 O 1.92-2.15
O: 0.5523 0.0891 0.8215  1 P 1.54
Li: 0.6911 0.1905 0.5630  4 O 1.94-2.15
O: 0.2703 0.2607 0.8298  1 Ti 1.75, 1 Li 1.92
O: 0.2527 0.5789 0.9902  1 P 1.55
O: 0.2333 0.7424 0.6714  1 Ti 1.75, 1 Li 1.94
O: 0.0525 0.0880 0.3188  1 P 1.53
O: 0.8620 0.1312 0.0220  1 P 1.55
P: 0.2700 0.2399 0.4059  4 O 1.53-1.56
Li: 0.7902 0.7106 0.9370  4 O 1.92-2.15
O: 0.7567 0.5910 0.4887  1 P 1.54
P: 0.7300 0.7601 0.5941  4 O 1.53-1.56
P: 0.7702 0.2477 0.9057  4 O 1.54-1.55
Ti: 0.7516 0.9832 0.2378  3 O 1.75-1.96
O: 0.7297 0.7393 0.1702  1 Ti 1.75, 1 Li 1.92
P: 0.2298 0.7523 0.0943  4 O 1.54-1.55
O: 0.7473 0.4211 0.0098  1 P 1.55
O: 0.1380 0.8688 0.9780  1 P 1.55
O: 0.4244 0.3444 0.2591  1 P 1.54
O: 0.4477 0.9109 0.1785  1 P 1.54
Ti: 0.2456 0.5146 0.7389  2 O 1.75-1.94
O: 0.0798 0.6559 0.2451  1 P 1.54
O: 0.3547 0.1145 0.5202  1 P 1.56
Ti: 0.7544 0.4854 0.2611  2 O 1.75-1.94

=====

No. 13
A relaxed structure of Er5Mg24. Source: the Alexandria database, functional GGA-PBEsol.

Values from the calculation:
symmetry = I-43m, No. 217
density of states at the Fermi level = 0.660 states/eV/atom
ΔE_f = -0.035 eV per atom
size of the total moment = 0.00 μB per cell

Cell: 9.6356 9.6356 9.6356 Å, 109.47 109.47 109.47°
Closest atoms and distances in Å follow each position.
Element x y z (fractional)
Mg: 0.7129 0.3228 0.3228  5 Mg 2.93-3.28, 1 Er 3.19
Mg: 0.8093 0.1803 0.8093  6 Mg 2.84-3.14
Mg: 0.6772 0.3901 0.0000  5 Mg 2.93-3.28, 1 Er 3.19
Mg: 0.0000 0.6772 0.3901  5 Mg 2.93-3.28, 1 Er 3.19
Mg: 0.3228 0.7129 0.3228  5 Mg 2.93-3.28, 1 Er 3.19
Mg: 0.8093 0.8093 0.1803  6 Mg 2.84-3.14
Er: 0.0000 0.6284 0.0000  12 Mg 3.19-3.54
Mg: 0.3228 0.3228 0.7129  5 Mg 2.93-3.28, 1 Er 3.19
Mg: 0.6099 0.6099 0.2871  5 Mg 2.93-3.28, 1 Er 3.19
Mg: 0.0000 0.1907 0.3711  6 Mg 2.84-3.14
Mg: 0.6099 0.2871 0.6099  5 Mg 2.93-3.28, 1 Er 3.19
Mg: 0.6289 0.8197 0.6289  6 Mg 2.84-3.14
Mg: 0.6772 0.0000 0.3901  5 Mg 2.93-3.28, 1 Er 3.19
Er: 0.0000 0.0000 0.0000  12 Mg 3.43, 4 Er 3.58
Mg: 0.3711 0.0000 0.1907  6 Mg 2.84-3.14
Mg: 0.1907 0.0000 0.3711  6 Mg 2.84-3.14
Mg: 0.0000 0.3901 0.6772  5 Mg 2.93-3.28, 1 Er 3.19
Mg: 0.3711 0.1907 0.0000  6 Mg 2.84-3.14
Mg: 0.1803 0.8093 0.8093  6 Mg 2.84-3.14
Mg: 0.8197 0.6289 0.6289  6 Mg 2.84-3.14
Mg: 0.0000 0.3711 0.1907  6 Mg 2.84-3.14
Mg: 0.1907 0.3711 0.0000  6 Mg 2.84-3.14
Er: 0.0000 0.0000 0.6284  12 Mg 3.19-3.54
Mg: 0.6289 0.6289 0.8197  6 Mg 2.84-3.14
Mg: 0.3901 0.0000 0.6772  5 Mg 2.93-3.28, 1 Er 3.19
Er: 0.3716 0.3716 0.3716  12 Mg 3.19-3.54
Mg: 0.3901 0.6772 0.0000  5 Mg 2.93-3.28, 1 Er 3.19
Mg: 0.2871 0.6099 0.6099  5 Mg 2.93-3.28, 1 Er 3.19
Er: 0.6284 0.0000 0.0000  12 Mg 3.19-3.54

=====

No. 14
A relaxed structure of LaYSc2. Source: the Alexandria database, functional GGA-PBEsol.

Values from the calculation:
symmetry = P4mm, No. 99
density of states at the Fermi level = 1.647 states/eV/atom
ΔE_f = 0.082 eV per atom
size of the total moment = 0.00 μB per cell

Cell: 3.7929 3.7929 7.8731 Å, 90.00 90.00 90.00°
Closest atoms and distances in Å follow each position.
Element x y z (fractional)
Sc: 0.0000 0.0000 0.0327  4 Sc 3.08, 4 La 3.38, 1 Y 3.45
Y: 0.0000 0.0000 0.4706  5 Sc 3.30-3.45, 4 La 3.57
Sc: 0.5000 0.5000 0.2263  4 Sc 3.08, 4 Y 3.30
La: 0.5000 0.5000 0.7705  5 Sc 3.38-3.59, 4 Y 3.57

=====

No. 15
A relaxed structure of AlFe3N. Source: the Alexandria database, functional GGA-PBEsol.

Values from the calculation:
energy relative to the elements, uncorrected = -9.05 kcal/mol of atoms
symmetry = Pm-3m, No. 221
density of states at the Fermi level = 1.136 states/eV/atom
size of the total moment = 0.01 μB per cell

Cell: 3.6672 3.6672 3.6672 Å, 90.00 90.00 90.00°
Closest atoms and distances in Å follow each position.
Element x y z (fractional)
Fe: 0.0000 0.0000 0.5000  2 N 1.83
N: 0.0000 0.0000 0.0000  6 Fe 1.83
Fe: 0.0000 0.5000 0.0000  2 N 1.83
Fe: 0.5000 0.0000 0.0000  2 N 1.83
Al: 0.5000 0.5000 0.5000  12 Fe 2.59

=====

No. 16
A relaxed structure of CaZnHg2. Source: the Alexandria database, functional GGA-PBEsol.

Values from the calculation:
symmetry = Imm2, No. 44
density of states at the Fermi level = 0.377 states/eV/atom
ΔE_f = -0.311 eV per atom
size of the total moment = 0.00 μB per cell

Cell: 4.7272 4.7601 5.0664 Å, 118.02 117.81 90.00°
Closest atoms and distances in Å follow each position.
Element x y z (fractional)
Hg: 0.7513 0.2513 0.5026  4 Zn 3.02-3.06, 4 Hg 3.03-3.04, 4 Ca 3.35
Ca: 0.2495 0.7495 0.4991  4 Zn 3.04, 8 Hg 3.04-3.35
Hg: 0.0007 0.0007 0.0014  4 Hg 3.03-3.04, 4 Ca 3.04, 4 Zn 3.35
Zn: 0.4985 0.4985 0.9969  8 Hg 3.02-3.35, 4 Ca 3.04

=====

No. 17
A relaxed structure of Rh3WI. Source: the Alexandria database, functional GGA-PBEsol.

Values from the calculation:
energy relative to the elements, uncorrected = 45.81 kcal/mol of atoms
symmetry = Pm-3m, No. 221
density of states at the Fermi level = 1.842 states/eV/atom
size of the total moment = 3.36 μB per cell

Cell: 4.6875 4.6875 4.6875 Å, 90.00 90.00 90.00°
Closest atoms and distances in Å follow each position.
Element x y z (fractional)
Rh: 0.0000 0.0000 0.5000  2 I 2.34
W: 0.5000 0.5000 0.5000  12 Rh 3.31
I: 0.0000 0.0000 0.0000  6 Rh 2.34
Rh: 0.0000 0.5000 0.0000  2 I 2.34
Rh: 0.5000 0.0000 0.0000  2 I 2.34

=====

No. 18
A relaxed structure of CsTe2Ru. Source: the Alexandria database, functional GGA-PBEsol.

Values from the calculation:
energy relative to the elements, uncorrected = 11.93 kcal/mol of atoms
symmetry = R-3m, No. 166
density of states at the Fermi level = 1.028 states/eV/atom
size of the total moment = 0.27 μB per cell

Cell: 5.1533 5.1533 5.1533 Å, 68.45 68.45 68.45°
Closest atoms and distances in Å follow each position.
Element x y z (fractional)
Te: 0.7804 0.7804 0.7804  1 Ru 2.58
Cs: 0.5000 0.5000 0.5000  8 Te 3.30-3.40
Te: 0.2196 0.2196 0.2196  1 Ru 2.58
Ru: 0.0000 0.0000 0.0000  2 Te 2.58

=====

No. 19
A relaxed structure of ZnFe2Co. Source: the Alexandria database, functional GGA-PBEsol.

Values from the calculation:
symmetry = Pmmm, No. 47
density of states at the Fermi level = 0.737 states/eV/atom
ΔE_f = 0.033 eV per atom
size of the total moment = 6.06 μB per cell

Cell: 2.5301 3.5417 5.0393 Å, 90.00 90.00 90.00°
Closest atoms and distances in Å follow each position.
Element x y z (fractional)
Fe: 0.0000 0.0000 0.7368  4 Fe 2.39-2.65, 4 Co 2.48, 4 Zn 2.55
Fe: 0.0000 0.0000 0.2632  4 Fe 2.39-2.65, 4 Co 2.48, 4 Zn 2.55
Zn: 0.5000 0.5000 0.0000  2 Co 2.52, 2 Zn 2.53, 8 Fe 2.55
Co: 0.5000 0.5000 0.5000  8 Fe 2.48, 2 Zn 2.52, 2 Co 2.53

=====

No. 20
A relaxed structure of Zn2CdAu. Source: the Alexandria database, functional GGA-PBEsol.

Values from the calculation:
symmetry = P4/mmm, No. 123
density of states at the Fermi level = 0.255 states/eV/atom
ΔE_f = -0.073 eV per atom
size of the total moment = 0.00 μB per cell

Cell: 3.9012 4.0635 4.0675 Å, 90.00 90.00 90.00°
Closest atoms and distances in Å follow each position.
Element x y z (fractional)
Au: 0.5000 0.5000 0.0000  8 Zn 2.82, 4 Cd 2.87
Zn: 0.0000 0.5000 0.5000  4 Cd 2.82, 4 Au 2.82, 4 Zn 2.87
Zn: 0.0000 0.0000 0.0000  4 Au 2.82, 4 Cd 2.82, 4 Zn 2.87
Cd: 0.5000 0.0000 0.5000  8 Zn 2.82, 4 Au 2.87